3
Lattice="-2.2873 3.7031 -6.2698 -6.0996 2.1616 -4.0469 4.0948 -0.9377 6.3725" Properties=species:S:1:pos:R:3 comment="ZrInBr PBE-GGA relaxed" rho_g_cm3=5.98 raw_formation_energy_ev_per_atom=-0.4200 pbc="T T T"
Zr -5.5583 3.8868 -6.8374
In -2.5016 1.7493 -3.0773
Br -0.3269 0.2286 -0.4021

5
Lattice="3.8615 0.0000 0.0000 0.0000 3.8615 0.0000 0.0000 0.0000 3.8615" Properties=species:S:1:pos:R:3 comment="ErNi3H PBE-GGA relaxed" rho_g_cm3=9.93 energy_ev_per_atom=-5.3470 pbc="T T T"
Er 1.9307 1.9307 1.9307
Ni 1.9307 0.0000 0.0000
Ni 0.0000 0.0000 1.9307
Ni 0.0000 1.9307 0.0000
H 0.0000 0.0000 0.0000